# 1
AcTb2Y6Tm: optimized geometry, PBE.

abc: 9.2801 15.2862 9.5371
angles: 90.00 95.16 90.00
Space group C2/c (No. 15)
Asymmetric unit:
Ac 0.0000 0.0295 0.2500 x4
Tb 0.2407 0.4438 0.4484 x8
Y 0.0577 0.1878 0.9421 x8
Y 0.1012 0.3888 0.1127 x8
Y 0.2171 0.2265 0.3167 x8
Tm 0.0000 0.4135 0.7500 x4

Output
- Final energy: -221.4 eV per cell

***

# 2
La3Sm2Tl4: optimized geometry, PBE.

abc: 9.5190 5.4869 10.7020
angles: 90.00 90.13 90.00
Space group C2/m (No. 12)
Asymmetric unit:
La 0.0000 0.0000 0.0000 x2
La 0.1674 0.5000 0.5756 x4
Sm 0.1661 0.5000 0.2172 x4
Tl 0.0008 0.0000 0.6568 x4
Tl 0.1670 0.5000 0.8968 x4

Output
- Excess energy over the best structure of this formula in the dataset: 0 meV per atom

***

# 3
InCo2Te: optimized geometry, PBE.

abc: 6.4271 6.4271 6.4271
angles: 90.00 90.00 90.00
Space group Fm-3m (No. 225)
Asymmetric unit:
In 0.0000 0.0000 0.0000 x4
Co 0.2500 0.2500 0.2500 x8
Te 0.0000 0.0000 0.5000 x4

Output
- Excess energy over the best structure of this formula in the dataset: 184 meV per atom
- Uncorrected formation energy: 0.3561 eV/atom

***

# 4
CeGeN: optimized geometry, PBE.

abc: 4.0696 4.0503 7.2794
angles: 90.00 105.48 90.00
Space group P2_1/m (No. 11)
Asymmetric unit:
Ce 0.1758 0.2500 0.3468 x2
Ge 0.4190 0.2500 0.9022 x2
N 0.2517 0.7500 0.5005 x2

Output
- Excess energy over the best structure of this formula in the dataset: 0 meV per atom
- Uncorrected formation energy: -0.9980 eV/atom

***

What did the first record say?
AcTb2Y6Tm: optimized geometry, PBE.

abc: 9.2801 15.2862 9.5371
angles: 90.00 95.16 90.00
Space group C2/c (No. 15)
Asymmetric unit:
Ac 0.0000 0.0295 0.2500 x4
Tb 0.2407 0.4438 0.4484 x8
Y 0.0577 0.1878 0.9421 x8
Y 0.1012 0.3888 0.1127 x8
Y 0.2171 0.2265 0.3167 x8
Tm 0.0000 0.4135 0.7500 x4

Output
- Final energy: -221.4 eV per cell